Entry 1:
# RePdCl2 (PBE, optimized geometry)
data_RePdCl2
_chemical_formula_sum 'Re3 Pd3 Cl6'
_cell_length_a 2.9823
_cell_length_b 2.9823
_cell_length_c 26.6447
_cell_angle_alpha 90.00
_cell_angle_beta 90.00
_cell_angle_gamma 120.00
_symmetry_space_group_name_H-M 'R -3 m'
_symmetry_Int_Tables_number 166
_symmetry_space_group_name_Hall '-R 3 2"'
loop_
_atom_site_label
_atom_site_type_symbol
_atom_site_fract_x
_atom_site_fract_y
_atom_site_fract_z
Re1 Re 0.0000 0.0000 0.0000
Pd1 Pd 0.0000 0.0000 0.5000
Cl1 Cl 0.0000 0.0000 0.0844
# - N(E_F) (states/eV/atom) = 1.03
# - magnetization (μB/atom) = 0.0000
# - VASP energy (eV/atom) = -4.95
# - formation energy without anion corrections (eV per atom) = 0.387


Entry 2:
# DyTa2TcC4 (PBE, optimized geometry)
data_DyTa2TcC4
_chemical_formula_sum 'Dy4 Ta8 Tc4 C16'
_cell_length_a 3.243
_cell_length_b 11.258
_cell_length_c 11.187
_cell_angle_alpha 90.00
_cell_angle_beta 90.00
_cell_angle_gamma 90.00
_symmetry_space_group_name_H-M 'C m c m'
_symmetry_Int_Tables_number 63
_symmetry_space_group_name_Hall '-C 2c 2'
loop_
_atom_site_label
_atom_site_type_symbol
_atom_site_fract_x
_atom_site_fract_y
_atom_site_fract_z
Dy1 Dy 0.000 0.115 0.250
Ta1 Ta 0.000 0.370 0.036
Tc1 Tc 0.000 0.150 0.750
C1 C 0.000 0.000 0.000
C2 C 0.000 0.262 0.614
C3 C 0.000 0.449 0.250
# - N(E_F) (states/eV/atom) = 0.27
# - magnetization (μB/atom) = 0.0000
# - VASP energy (eV/atom) = -9.71
# - calculated formation energy (meV per atom) = -260


Entry 3:
# VGaIr2 (PBE, optimized geometry)
data_VGaIr2
_chemical_formula_sum 'V4 Ga4 Ir8'
_cell_length_a 5.892
_cell_length_b 5.892
_cell_length_c 9.415
_cell_angle_alpha 90.00
_cell_angle_beta 90.00
_cell_angle_gamma 90.00
_symmetry_space_group_name_H-M 'I -4 2 d'
_symmetry_Int_Tables_number 122
_symmetry_space_group_name_Hall 'I -4 2bw'
loop_
_atom_site_label
_atom_site_type_symbol
_atom_site_fract_x
_atom_site_fract_y
_atom_site_fract_z
V1 V 0.000 0.000 0.000
Ga1 Ga 0.000 0.000 0.500
Ir1 Ir 0.234 0.250 0.125
# - N(E_F) (states/eV/atom) = 0.25
# - magnetization (μB/atom) = 0.0000
# - VASP energy (eV/atom) = -7.05
# - calculated formation energy (meV per atom) = 422


Entry 4:
# CaMnCr (PBE, optimized geometry)
data_CaMnCr
_chemical_formula_sum 'Ca1 Mn1 Cr1'
_cell_length_a 4.0301
_cell_length_b 4.0301
_cell_length_c 4.8602
_cell_angle_alpha 90.00
_cell_angle_beta 90.00
_cell_angle_gamma 120.00
_symmetry_space_group_name_H-M 'P -6 m 2'
_symmetry_Int_Tables_number 187
_symmetry_space_group_name_Hall 'P -6 2'
loop_
_atom_site_label
_atom_site_type_symbol
_atom_site_fract_x
_atom_site_fract_y
_atom_site_fract_z
Ca1 Ca 0.0000 0.0000 0.0000
Mn1 Mn 0.6667 0.3333 0.5000
Cr1 Cr 0.3333 0.6667 0.5000
# - N(E_F) (states/eV/atom) = 1.27
# - magnetization (μB/atom) = 0.1769
# - VASP energy (eV/atom) = -6.37
# - calculated formation energy (meV per atom) = 558


Entry 5:
# InSb3S (PBE, optimized geometry)
data_InSb3S
_chemical_formula_sum 'In1 Sb3 S1'
_cell_length_a 5.590
_cell_length_b 5.590
_cell_length_c 5.590
_cell_angle_alpha 90.00
_cell_angle_beta 90.00
_cell_angle_gamma 90.00
_symmetry_space_group_name_H-M 'P m -3 m'
_symmetry_Int_Tables_number 221
_symmetry_space_group_name_Hall '-P 4 2 3'
loop_
_atom_site_label
_atom_site_type_symbol
_atom_site_fract_x
_atom_site_fract_y
_atom_site_fract_z
In1 In 0.000 0.000 0.000
Sb1 Sb 0.000 0.000 0.500
S1 S 0.500 0.500 0.500
# - N(E_F) (states/eV/atom) = 1.31
# - magnetization (μB/atom) = 0.3179
# - VASP energy (eV/atom) = -2.78
# - formation energy without anion corrections (eV per atom) = 1.066


Entry 6:
# PmRhO3 (PBE, optimized geometry)
data_PmRhO3
_chemical_formula_sum 'Pm8 Rh8 O24'
_cell_length_a 9.908
_cell_length_b 5.547
_cell_length_c 9.685
_cell_angle_alpha 90.00
_cell_angle_beta 109.59
_cell_angle_gamma 90.00
_symmetry_space_group_name_H-M 'C 1 2/c 1'
_symmetry_Int_Tables_number 15
loop_
_symmetry_equiv_pos_as_xyz
'x,y,z'
'-x,-y,-z'
'-x,y,-z+1/2'
'x,-y,z+1/2'
'x+1/2,y+1/2,z'
'-x+1/2,-y+1/2,-z'
'-x+1/2,y+1/2,-z+1/2'
'x+1/2,-y+1/2,z+1/2'
loop_
_atom_site_label
_atom_site_type_symbol
_atom_site_fract_x
_atom_site_fract_y
_atom_site_fract_z
Pm1 Pm 0.137 0.205 0.134
Rh1 Rh 0.000 0.264 0.750
Rh2 Rh 0.250 0.250 0.500
O1 O 0.070 0.229 0.568
O2 O 0.150 0.472 0.327
O3 O 0.171 0.033 0.856
# - magnetization (μB/atom) = 0.0000
# - VASP energy (eV/atom) = -7.44
# - formation energy without anion corrections (eV per atom) = -2.040


Entry 7:
# MnTlHg2 (PBE, optimized geometry)
data_MnTlHg2
_chemical_formula_sum 'Mn1 Tl1 Hg2'
_cell_length_a 3.549
_cell_length_b 4.702
_cell_length_c 5.743
_cell_angle_alpha 90.00
_cell_angle_beta 100.38
_cell_angle_gamma 90.00
_symmetry_space_group_name_H-M 'P 1 m 1'
_symmetry_Int_Tables_number 6
loop_
_symmetry_equiv_pos_as_xyz
'x,y,z'
'x,-y,z'
loop_
_atom_site_label
_atom_site_type_symbol
_atom_site_fract_x
_atom_site_fract_y
_atom_site_fract_z
Mn1 Mn 0.000 0.000 0.000
Tl1 Tl 0.551 0.500 0.165
Hg1 Hg 0.337 0.000 0.518
Hg2 Hg 0.920 0.500 0.700
# - N(E_F) (states/eV/atom) = 0.63
# - magnetization (μB/atom) = 1.0155
# - VASP energy (eV/atom) = -2.71
# - calculated formation energy (meV per atom) = 326


Entry 8:
# Mo2AsC (PBE, optimized geometry)
data_Mo2AsC
_chemical_formula_sum 'Mo8 As4 C4'
_cell_length_a 5.159
_cell_length_b 5.159
_cell_length_c 10.313
_cell_angle_alpha 90.00
_cell_angle_beta 90.00
_cell_angle_gamma 90.00
_symmetry_space_group_name_H-M 'I -4 2 d'
_symmetry_Int_Tables_number 122
_symmetry_space_group_name_Hall 'I -4 2bw'
loop_
_atom_site_label
_atom_site_type_symbol
_atom_site_fract_x
_atom_site_fract_y
_atom_site_fract_z
Mo1 Mo 0.169 0.250 0.125
As1 As 0.000 0.000 0.500
C1 C 0.000 0.000 0.000
# - N(E_F) (states/eV/atom) = 1.29
# - magnetization (μB/atom) = 0.2287
# - VASP energy (eV/atom) = -8.32
# - calculated formation energy (meV per atom) = 561


Entry 9:
# Mn22SnC6 (PBE, optimized geometry)
data_Mn22SnC6
_chemical_formula_sum 'Mn88 Sn4 C24'
_cell_length_a 10.507
_cell_length_b 10.507
_cell_length_c 10.507
_cell_angle_alpha 90.00
_cell_angle_beta 90.00
_cell_angle_gamma 90.00
_symmetry_space_group_name_H-M 'F m -3 m'
_symmetry_Int_Tables_number 225
_symmetry_space_group_name_Hall '-F 4 2 3'
loop_
_atom_site_label
_atom_site_type_symbol
_atom_site_fract_x
_atom_site_fract_y
_atom_site_fract_z
Mn1 Mn 0.000 0.174 0.174
Mn2 Mn 0.117 0.117 0.383
Mn3 Mn 0.250 0.250 0.250
Sn1 Sn 0.000 0.000 0.000
C1 C 0.000 0.000 0.281
# - N(E_F) (states/eV/atom) = 1.03
# - magnetization (μB/atom) = 0.4587
# - VASP energy (eV/atom) = -9.01
# - calculated formation energy (meV per atom) = -11


Entry 10:
# ReBiIr2 (PBE, optimized geometry)
data_ReBiIr2
_chemical_formula_sum 'Re4 Bi4 Ir8'
_cell_length_a 5.996
_cell_length_b 5.996
_cell_length_c 11.216
_cell_angle_alpha 90.00
_cell_angle_beta 90.00
_cell_angle_gamma 90.00
_symmetry_space_group_name_H-M 'I -4 2 d'
_symmetry_Int_Tables_number 122
_symmetry_space_group_name_Hall 'I -4 2bw'
loop_
_atom_site_label
_atom_site_type_symbol
_atom_site_fract_x
_atom_site_fract_y
_atom_site_fract_z
Re1 Re 0.000 0.000 0.000
Bi1 Bi 0.000 0.000 0.500
Ir1 Ir 0.208 0.250 0.125
# - N(E_F) (states/eV/atom) = 0.72
# - magnetization (μB/atom) = 0.0000
# - VASP energy (eV/atom) = -7.71
# - calculated formation energy (meV per atom) = 804


Entry 11:
# Rb2MnGeSe4 (PBE, optimized geometry)
data_Rb2MnGeSe4
_chemical_formula_sum 'Rb16 Mn8 Ge8 Se32'
_cell_length_a 6.166
_cell_length_b 14.169
_cell_length_c 25.091
_cell_angle_alpha 90.00
_cell_angle_beta 90.00
_cell_angle_gamma 90.00
_symmetry_space_group_name_H-M 'F d d d'
_symmetry_Int_Tables_number 70
loop_
_symmetry_equiv_pos_as_xyz
'x,y,z'
'-x,-y,-z'
'-x+1/4,-y+1/4,z'
'x+1/4,y+1/4,-z'
'x,-y+1/4,-z+1/4'
'-x,y+1/4,z+1/4'
'-x+1/4,y,-z+1/4'
'x+1/4,-y,z+1/4'
'x,y+1/2,z+1/2'
'-x,-y+1/2,-z+1/2'
'-x+1/4,-y+3/4,z+1/2'
'x+1/4,y+3/4,-z+1/2'
'x,-y+3/4,-z+3/4'
'-x,y+3/4,z+3/4'
'-x+1/4,y+1/2,-z+3/4'
'x+1/4,-y+1/2,z+3/4'
'x+1/2,y,z+1/2'
'-x+1/2,-y,-z+1/2'
'-x+3/4,-y+1/4,z+1/2'
'x+3/4,y+1/4,-z+1/2'
'x+1/2,-y+1/4,-z+3/4'
'-x+1/2,y+1/4,z+3/4'
'-x+3/4,y,-z+3/4'
'x+3/4,-y,z+3/4'
'x+1/2,y+1/2,z'
'-x+1/2,-y+1/2,-z'
'-x+3/4,-y+3/4,z'
'x+3/4,y+3/4,-z'
'x+1/2,-y+3/4,-z+1/4'
'-x+1/2,y+3/4,z+1/4'
'-x+3/4,y+1/2,-z+1/4'
'x+3/4,-y+1/2,z+1/4'
loop_
_atom_site_label
_atom_site_type_symbol
_atom_site_fract_x
_atom_site_fract_y
_atom_site_fract_z
Rb1 Rb 0.125 0.125 0.307
Mn1 Mn 0.125 0.125 0.125
Ge1 Ge 0.125 0.125 0.625
Se1 Se 0.107 0.277 0.822
# - magnetization (μB/atom) = 0.6250
# - VASP energy (eV/atom) = -4.47
# - formation energy without anion corrections (eV per atom) = -0.762